1.
Below is BaLi2Sb after structural relaxation, with properties calculated at the PBE-GGA level.

Cell: 6.335 6.335 4.907 Å, 68.07 68.07 114.82°
Positions (direct):
Li (0.000, 0.000, 0.000)
Li (0.500, 0.500, 0.000)
Sb (0.500, 0.000, 0.500)
Ba (0.000, 0.500, 0.500)

Symmetry = C2/m
Total magnetic moment = 0.00 μB per formula unit
E = -10.85 eV per cell

---

2.
Below is BaLi2Sb after structural relaxation, with properties calculated at the PBE-GGA level.

Cell: 4.692 4.692 6.443 Å, 68.71 68.71 59.95°
Site moments in Bohr magnetons follow the coordinates.
Positions (direct):
Sb (0.250, 0.250, 0.250)  -0.01
Li (0.948, 0.948, 0.155)  0.02
Li (0.552, 0.552, 0.345)  0.02
Ba (0.750, 0.750, 0.750)  0.14

Symmetry = C2/m
Total magnetic moment = 0.61 μB per formula unit
E = -12.31 eV per cell

---

3.
Below is BaLi2Sb after structural relaxation, with properties calculated at the PBE-GGA level.

Cell: 5.010 5.135 5.127 Å, 84.98 90.00 90.00°
Site moments in Bohr magnetons follow the coordinates.
Positions (direct):
Li (0.000, 0.097, 0.070)  0.03
Li (0.000, 0.403, 0.430)  0.03
Ba (0.500, 0.750, 0.750)  0.12
Sb (0.500, 0.250, 0.250)  0.01

Symmetry = P2/m
Total magnetic moment = 0.88 μB per formula unit
E = -11.69 eV per cell

---

DOS at the Fermi energy: 2.13 1.74 1.28 (states/eV/cell)